Entry from Alexandria: a relaxed structure of Y2FeSb (GGA-PBEsol).

Cell: 4.8599 4.8599 4.8599 Å, 60.00 60.00 60.00°
Last column: nearest neighbours and their distance in Å.
Fractional positions:
Fe: 0.5000 0.5000 0.5000  4 Y 2.98, 4 Sb 2.98
Sb: 0.7500 0.7500 0.7500  4 Fe 2.98, 4 Y 2.98
Y: 0.0000 0.0000 0.0000  4 Sb 2.98, 4 Y 2.98
Y: 0.2500 0.2500 0.2500  4 Y 2.98, 4 Fe 2.98

formation energy (no corrections): 3 kJ/mol of atoms
space-group type: No. 216